Record 1
Below is TiCr2Tc2 after structural relaxation, with properties calculated at the PBE-GGA level.

Computed properties:
The volume comes out at 71 Å³/f.u. The calculation puts the density of states at the Fermi level at 12.483 states/eV per cell. Its crystal system is tetragonal. The value obtained for the total energy is -9.43 eV per atom. For the energy of formation, the calculation gives 0.1406 eV/atom. As for the offset from the most stable computed form: 0 meV per atom.

Unit cell a=7.141 b=7.141 c=2.790 alpha=90.00 beta=90.00 gamma=90.00
Positions (direct):
Cr 0.856 0.644 0.000
Tc 0.344 0.156 0.500
Cr 0.144 0.356 0.000
Tc 0.656 0.844 0.500
Tc 0.156 0.656 0.500
Ti 0.500 0.500 0.000
Cr 0.356 0.856 0.000
Ti 0.000 0.000 0.000
Cr 0.644 0.144 0.000
Tc 0.844 0.344 0.500



Record 2
Below is KTaZnO4 after structural relaxation, with properties calculated at the PBE-GGA level.

Computed properties:
The volume comes out at 153 Å³/f.u. The calculation puts the density of states at the Fermi level at 0.000 states/eV per cell. The formation energy (no corrections) is -2.155 eV/atom. Its crystal system is monoclinic. The value obtained for the total energy is -7.02 eV per atom.

Unit cell a=5.626 b=5.770 c=9.459 alpha=90.00 beta=93.42 gamma=90.00
Positions (direct):
Zn 0.143 0.250 0.524
K 0.122 0.750 0.835
O 0.869 0.501 0.621
K 0.878 0.250 0.165
Ta 0.284 0.750 0.293
Zn 0.857 0.750 0.476
O 0.383 0.250 0.677
O 0.198 0.750 0.105
O 0.802 0.250 0.895
O 0.617 0.750 0.323
O 0.131 0.001 0.379
O 0.131 0.499 0.379
Ta 0.716 0.250 0.707
O 0.869 0.999 0.621



Record 3
Below is BaAl2Br after structural relaxation, with properties calculated at the PBE-GGA level.

Computed properties:
The volume comes out at 113 Å³/f.u. The calculation puts the density of states at the Fermi level at 3.627 states/eV per cell. The formation energy (no corrections) is -0.232 eV/atom. Its crystal system is cubic. The value obtained for the total energy is -3.00 eV per atom. As for the offset from the most stable computed form: 300 meV per atom.

Unit cell a=5.432 b=5.432 c=5.432 alpha=60.00 beta=60.00 gamma=60.00
Positions (direct):
Ba 0.500 0.500 0.500
Al 0.250 0.250 0.250
Al 0.000 0.000 0.000
Br 0.750 0.750 0.750